No. 1
VASP calculation (PBE) on crystalline LaCuSN2 at its relaxed geometry.

```
data_LaCuSN2
_cell_length_a 4.0404
_cell_length_b 4.0404
_cell_length_c 4.4408
_cell_angle_alpha 90.00
_cell_angle_beta 90.00
_cell_angle_gamma 90.00
_space_group_name_H-M_alt 'P 4/m m m'
_space_group_IT_number 123
_space_group_name_Hall '-P 4 2'
loop_
_atom_site_label
_atom_site_type_symbol
_atom_site_fract_x
_atom_site_fract_y
_atom_site_fract_z
La1 La 0.0000 0.0000 0.0000
Cu1 Cu 0.5000 0.5000 0.5000
S1 S 0.5000 0.5000 0.0000
N1 N 0.0000 0.5000 0.5000
```

Summary:
Electronic total energy: -5.804 eV per atom
ΔE_f (raw): 0.156 eV/atom

---

No. 2
VASP calculation (PBE) on crystalline LaCuSN2 at its relaxed geometry.

```
data_LaCuSN2
_cell_length_a 3.9240
_cell_length_b 3.9240
_cell_length_c 6.0590
_cell_angle_alpha 90.00
_cell_angle_beta 90.00
_cell_angle_gamma 90.00
_space_group_name_H-M_alt 'P 4/m m m'
_space_group_IT_number 123
_space_group_name_Hall '-P 4 2'
loop_
_atom_site_label
_atom_site_type_symbol
_atom_site_fract_x
_atom_site_fract_y
_atom_site_fract_z
La1 La 0.0000 0.0000 0.0000
Cu1 Cu 0.0000 0.0000 0.5000
S1 S 0.5000 0.5000 0.0000
N1 N 0.0000 0.5000 0.5000
```

Summary:
Electronic total energy: -5.446 eV per atom
ΔE_f (raw): 0.514 eV/atom

---

No. 3
VASP calculation (PBE) on crystalline LaCuS2N at its relaxed geometry.

```
data_LaCuS2N
_cell_length_a 4.7675
_cell_length_b 4.7675
_cell_length_c 3.8397
_cell_angle_alpha 90.00
_cell_angle_beta 90.00
_cell_angle_gamma 90.00
_space_group_name_H-M_alt 'P 4/m m m'
_space_group_IT_number 123
_space_group_name_Hall '-P 4 2'
loop_
_atom_site_label
_atom_site_type_symbol
_atom_site_fract_x
_atom_site_fract_y
_atom_site_fract_z
La1 La 0.0000 0.0000 0.0000
Cu1 Cu 0.5000 0.5000 0.5000
S1 S 0.0000 0.5000 0.5000
N1 N 0.5000 0.5000 0.0000
```

Summary:
Electronic total energy: -5.542 eV per atom
ΔE_f (raw): -0.421 eV/atom

---

What ΔE to the lowest computed polymorph values result from the calculations? In sequence: 0.0000, 0.3583, 0.0000 eV/atom.
What V values result from the calculations? In sequence: 72.5, 93.3, 87.3 Å³ per cell.